## RbAsRu2 (PBE-GGA)

Data for a relaxed RbAsRu2 crystal.

Unit cell a=4.9656 b=4.9656 c=9.2009 alpha=74.35 beta=74.35 gamma=90.00
Element x y z (fractional)
Ru1 0.8750 0.6249 0.7500
Ru2 0.3750 0.6251 0.7500
Ru3 0.3749 0.1250 0.2500
Ru4 0.3751 0.6250 0.2500
Rb1 0.0000 0.0000 0.0000
Rb2 0.7500 0.2500 0.5000
As1 0.5000 0.5000 0.0000
As2 0.2500 0.7500 0.5000

The value obtained for the energy is -5.38 eV per atom. As for the density of states at the Fermi level: 7.6 states/eV per cell. The magnetic moment is 0.1646 μB per atom. As for the formation energy: 0.66 eV/atom.